Record 1
Density functional theory data (PBE) for KGaHg2Se after structural relaxation.

Lattice parameters (Å, degrees): 5.386 5.386 5.395 90.00 90.00 90.00
Element x y z (fractional)
K 0.000 0.000 0.000
Ga 0.500 0.500 0.500
Hg 0.000 0.500 0.500
Hg 0.500 0.000 0.500
Se 0.500 0.500 0.000

The calculation puts the raw formation energy at -0.317 eV/atom.



Record 2
Density functional theory data (PBE) for KGaSnHg after structural relaxation.

Lattice parameters (Å, degrees): 7.566 7.566 7.566 90.00 90.00 90.00
Element x y z (fractional)
K 0.000 0.000 0.000
K 0.000 0.500 0.500
K 0.500 0.000 0.500
K 0.500 0.500 0.000
Ga 0.250 0.250 0.250
Ga 0.250 0.750 0.750
Ga 0.750 0.250 0.750
Ga 0.750 0.750 0.250
Sn 0.000 0.000 0.500
Sn 0.000 0.500 0.000
Sn 0.500 0.000 0.000
Sn 0.500 0.500 0.500
Hg 0.250 0.250 0.750
Hg 0.250 0.750 0.250
Hg 0.750 0.250 0.250
Hg 0.750 0.750 0.750

The calculation puts the formation enthalpy at 0 K at -53 meV per atom.